6
Lattice="3.6818 0.0000 0.0000 0.0000 3.6818 0.0000 0.0000 0.0000 8.9039" Properties=species:S:1:pos:R:3 comment="Er2CuAu3 PBE-GGA relaxed" ef_ev_per_fu=-4.4 dft_energy_ev_per_atom=-4.5005 total_magnetization_mub_per_fu=0.0 crystal_system=tetragonal pbc="T T T"
Au 1.8409 1.8409 2.8863
Au 1.8409 1.8409 5.9006
Au 0.0000 0.0000 7.5151
Cu 0.0000 0.0000 1.5119
Er 1.8409 1.8409 0.0160
Er 0.0000 0.0000 4.4299